First-principles (PBE) data for SiHgMo2 after structural relaxation, as listed in the Alexandria database.

The formation energy from raw total energies comes out at 0.278 eV per atom. Its space-group type is Cmmm. The magnetic moment comes out at 0.0 μB per formula unit. Its total energy is -6.569 eV/atom.

Cell lengths 2.825, 2.825, 8.555 Å; angles 90.00, 90.00, 106.09 degrees
Element x y z (fractional)
Mo (0.000, 0.000, 0.035)
Mo (0.000, 0.000, 0.465)
Hg (0.500, 0.500, 0.750)
Si (0.500, 0.500, 0.250)

***

First-principles (PBE) data for SmDySc2 after structural relaxation, as listed in the Alexandria database.

Its space-group type is R-3m. The energy of formation from the pure elements is 0.060 eV/atom. The magnetic moment comes out at 0.0 μB per formula unit. Its total energy is -5.436 eV/atom.

Cell lengths 3.442, 3.442, 11.159 Å; angles 81.13, 81.13, 60.00 degrees
Element x y z (fractional)
Dy (0.500, 0.500, 0.500)
Sm (0.000, 0.000, 0.000)
Sc (0.249, 0.249, 0.252)
Sc (0.751, 0.751, 0.748)

***

First-principles (PBE) data for AcGaCuPd6 after structural relaxation, as listed in the Alexandria database.

Its space-group type is Imma. The energy of formation from the pure elements is -0.187 eV/atom. The magnetic moment comes out at 0.0 μB per formula unit. Its total energy is -4.896 eV/atom.

Cell lengths 8.521, 7.669, 8.096 Å; angles 118.27, 121.75, 90.00 degrees
Element x y z (fractional)
Pd (0.133, 0.383, 0.753)
Pd (0.636, 0.386, 0.271)
Pd (0.867, 0.130, 0.247)
Pd (0.364, 0.614, 0.729)
Pd (0.620, 0.383, 0.753)
Pd (0.380, 0.130, 0.247)
Pd (0.862, 0.112, 0.725)
Pd (0.133, 0.870, 0.753)
Pd (0.138, 0.888, 0.275)
Pd (0.867, 0.617, 0.247)
Pd (0.380, 0.617, 0.247)
Pd (0.620, 0.870, 0.753)
Ac (0.117, 0.367, 0.235)
Ac (0.883, 0.633, 0.765)
Cu (0.500, 0.500, 0.000)
Cu (0.500, 0.000, 0.000)
Ga (0.000, 0.000, 0.500)
Ga (0.500, 0.000, 0.500)

***

First-principles (PBE) data for ScAsRu2 after structural relaxation, as listed in the Alexandria database.

Its space-group type is R-3m. The energy of formation from the pure elements is -0.085 eV/atom. The magnetic moment comes out at 0.0 μB per formula unit. Its total energy is -7.468 eV/atom.

Cell lengths 7.970, 7.970, 7.970 Å; angles 22.64, 22.64, 22.64 degrees
Element x y z (fractional)
Ru (0.509, 0.509, 0.509)
Ru (0.991, 0.991, 0.991)
As (0.250, 0.250, 0.250)
Sc (0.750, 0.750, 0.750)

***

First-principles (PBE) data for Rb2SrGaF6 after structural relaxation, as listed in the Alexandria database.

The formation energy from raw total energies comes out at -2.847 eV per atom. Its space-group type is Fm-3m. The magnetic moment comes out at 1.0 μB per formula unit. Its total energy is -4.635 eV/atom.

Cell lengths 6.448, 6.448, 6.448 Å; angles 60.00, 60.00, 90.00 degrees
Each line ends with the local moment (μB).
Element x y z (fractional)
Rb (0.250, 0.750, 0.500)  0.00
Rb (0.750, 0.250, 0.500)  0.00
Sr (0.000, 0.000, 0.000)  0.02
F (0.263, 0.737, 0.000)  0.06
F (0.737, 0.737, 0.000)  0.06
F (0.737, 0.737, 0.526)  0.06
F (0.737, 0.263, 0.000)  0.06
F (0.263, 0.263, 0.474)  0.06
F (0.263, 0.263, 0.000)  0.06
Ga (0.500, 0.500, 0.000)  0.43

***

First-principles (PBE) data for NpCd3O6F2 after structural relaxation, as listed in the Alexandria database.

The formation energy from raw total energies comes out at -1.692 eV per atom. Its space-group type is C2/m. The magnetic moment comes out at 0.8 μB per formula unit. Its total energy is -5.790 eV/atom.

Cell lengths 4.769, 6.538, 6.695 Å; angles 119.22, 89.36, 90.00 degrees
Each line ends with the local moment (μB).
Element x y z (fractional)
Np (0.500, 0.000, 0.000)  -0.03
O (0.714, 0.845, 0.690)  0.13
O (0.730, 0.843, 0.135)  0.10
O (0.270, 0.708, 0.865)  0.10
O (0.270, 0.157, 0.865)  0.10
O (0.286, 0.155, 0.310)  0.13
O (0.730, 0.292, 0.135)  0.10
Cd (0.500, 0.500, 0.500)  0.02
Cd (0.000, 0.500, 0.000)  0.01
Cd (0.500, 0.000, 0.500)  0.02
F (0.761, 0.332, 0.664)  0.00
F (0.239, 0.668, 0.336)  0.00

***

First-principles (PBE) data for Tb6Al2C after structural relaxation, as listed in the Alexandria database.

Its space-group type is Fm-3m. The energy of formation from the pure elements is -0.285 eV/atom. The magnetic moment comes out at 0.0 μB per formula unit. Its total energy is -5.228 eV/atom.

Cell lengths 6.888, 6.888, 9.734 Å; angles 90.00, 90.00, 90.00 degrees
Element x y z (fractional)
Al (0.500, 0.000, 0.250)
Al (0.500, 0.000, 0.750)
Al (0.000, 0.500, 0.250)
Al (0.000, 0.500, 0.750)
Tb (0.000, 0.000, 0.254)
Tb (0.746, 0.746, 0.000)
Tb (0.500, 0.500, 0.246)
Tb (0.746, 0.254, 0.000)
Tb (0.754, 0.754, 0.500)
Tb (0.246, 0.246, 0.500)
Tb (0.000, 0.000, 0.746)
Tb (0.254, 0.254, 0.000)
Tb (0.254, 0.746, 0.000)
Tb (0.246, 0.754, 0.500)
Tb (0.754, 0.246, 0.500)
Tb (0.500, 0.500, 0.754)
C (0.000, 0.000, 0.500)
C (0.500, 0.500, 0.000)

***

First-principles (PBE) data for Ba2LiCd3Pb4 after structural relaxation, as listed in the Alexandria database.

Its space-group type is P-4m2. The energy of formation from the pure elements is -0.359 eV/atom. The magnetic moment comes out at 0.0 μB per formula unit. Its total energy is -2.693 eV/atom.

Cell lengths 5.011, 5.011, 12.621 Å; angles 90.00, 90.00, 90.00 degrees
Element x y z (fractional)
Pb (0.500, 0.500, 0.000)
Pb (0.500, 0.000, 0.627)
Pb (0.000, 0.500, 0.373)
Pb (0.000, 0.000, 0.000)
Ba (0.500, 0.000, 0.260)
Ba (0.000, 0.500, 0.740)
Cd (0.000, 0.000, 0.500)
Cd (0.000, 0.500, 0.143)
Cd (0.500, 0.000, 0.857)
Li (0.500, 0.500, 0.500)

***

First-principles (PBE) data for BaPtPb2 after structural relaxation, as listed in the Alexandria database.

Its space-group type is I-42d. The energy of formation from the pure elements is -0.219 eV/atom. The magnetic moment comes out at 0.0 μB per formula unit. Its total energy is -4.064 eV/atom.

Cell lengths 5.126, 5.126, 10.830 Å; angles 76.31, 76.31, 90.00 degrees
Element x y z (fractional)
Pb (0.025, 0.625, 0.250)
Pb (0.725, 0.125, 0.250)
Pb (0.875, 0.975, 0.750)
Pb (0.375, 0.275, 0.750)
Ba (0.500, 0.500, 0.000)
Ba (0.250, 0.750, 0.500)
Pt (0.000, 0.000, 0.000)
Pt (0.750, 0.250, 0.500)

***

First-principles (PBE) data for Ba2VB2 after structural relaxation, as listed in the Alexandria database.

Its space-group type is I4/mmm. The energy of formation from the pure elements is 0.727 eV/atom. The magnetic moment comes out at 4.8 μB per formula unit. Its total energy is -4.537 eV/atom.

Cell lengths 6.070, 6.070, 5.436 Å; angles 56.06, 56.06, 90.00 degrees
Each line ends with the local moment (μB).
Element x y z (fractional)
Ba (0.750, 0.250, 0.500)  0.19
Ba (0.250, 0.750, 0.500)  0.19
V (0.000, 0.000, 0.000)  3.00
B (0.620, 0.620, 0.760)  -0.03
B (0.380, 0.380, 0.240)  -0.03

***

First-principles (PBE) data for Ru4WSe after structural relaxation, as listed in the Alexandria database.

The formation energy from raw total energies comes out at 0.765 eV per atom. Its space-group type is F-43m. The magnetic moment comes out at 0.0 μB per formula unit. Its total energy is -8.159 eV/atom.

Cell lengths 5.107, 5.107, 5.107 Å; angles 60.00, 60.00, 60.00 degrees
Element x y z (fractional)
Ru (0.625, 0.625, 0.625)
Ru (0.625, 0.625, 0.124)
Ru (0.625, 0.124, 0.625)
Ru (0.124, 0.625, 0.625)
W (0.000, 0.000, 0.000)
Se (0.250, 0.250, 0.250)

***

First-principles (PBE) data for KTl2Si after structural relaxation, as listed in the Alexandria database.

The formation energy from raw total energies comes out at 0.190 eV per atom. Its space-group type is Immm. The magnetic moment comes out at 0.0 μB per formula unit. Its total energy is -2.623 eV/atom.

Cell lengths 6.045, 6.045, 6.045 Å; angles 137.75, 116.63, 79.14 degrees
Element x y z (fractional)
K (0.750, 0.250, 0.500)
Tl (0.057, 0.057, 0.000)
Tl (0.443, 0.443, 0.000)
Si (0.250, 0.750, 0.500)